The following is a PBE calculation of MnReIr4 after structural relaxation, from the Alexandria database.

Summary:
Symmetry: C2/m
Mass density (g cm⁻³): 16.96
Energy above the lowest structure with this stoichiometry (meV per atom): 0
Volume (Å³/atom): 16.48
Energy relative to the elements (eV per atom): 0.249

Unit cell a=4.1405 b=4.1405 c=7.0757 alpha=107.07 beta=107.07 gamma=60.04
Closest atoms and distances in Å follow each position.
Positions (direct):
1 Mn 0.0000 0.0000 0.0000  8 Ir 2.47-2.52
2 Re 0.5000 0.5000 0.5000  8 Ir 2.54-2.55
3 Ir 0.1234 0.1234 0.3707  1 Mn 2.47, 3 Re 2.54
4 Ir 0.3727 0.3727 0.1176  3 Mn 2.51-2.52, 1 Re 2.55
5 Ir 0.6273 0.6273 0.8824  3 Mn 2.51-2.52, 1 Re 2.55
6 Ir 0.8766 0.8766 0.6293  1 Mn 2.47, 3 Re 2.54